Here is a geometry-optimized RbH2Pb structure from Alexandria via LeMat-Bulk. Energies are from PBE-GGA.

```
data_RbH2Pb
_cell_length_a 4.589
_cell_length_b 7.006
_cell_length_c 7.404
_cell_angle_alpha 64.27
_cell_angle_beta 72.11
_cell_angle_gamma 70.93
_space_group_name_H-M_alt 'P -1'
_space_group_IT_number 2
_space_group_name_Hall '-P 1'
loop_
_atom_site_label
_atom_site_type_symbol
_atom_site_fract_x
_atom_site_fract_y
_atom_site_fract_z
Rb1 Rb 0.070 0.135 0.224
H1 H 0.412 0.164 0.512
H2 H 0.469 0.517 0.046
Pb1 Pb 0.244 0.372 0.641
```


Here is a geometry-optimized Ba3Ac2Zn2Au4 structure from Alexandria via LeMat-Bulk. Energies are from PBE-GGA.

Calculated values
Formation energy from the elements ... -565 kJ/mol of formula units

```
data_Ba3Ac2Zn2Au4
_cell_length_a 4.6667
_cell_length_b 4.6667
_cell_length_c 19.7184
_cell_angle_alpha 90.00
_cell_angle_beta 90.00
_cell_angle_gamma 120.00
_space_group_name_H-M_alt 'P -3 m 1'
_space_group_IT_number 164
_space_group_name_Hall '-P 3 2"'
loop_
_atom_site_label
_atom_site_type_symbol
_atom_site_fract_x
_atom_site_fract_y
_atom_site_fract_z
Ba1 Ba 0.0000 0.0000 0.0000
Ba2 Ba 0.0000 0.0000 0.2327
Ac1 Ac 0.3333 0.6667 0.5794
Zn1 Zn 0.3333 0.6667 0.1163
Au1 Au 0.3333 0.6667 0.3404
Au2 Au 0.3333 0.6667 0.8842
```


Per-record density of states at the Fermi level, states/eV per cell: 0.5 10.6
Per-record energy, eV/atom: -2.899 -3.227